1.
{
  "formula": "LaRh2Se",
  "functional": "SCAN",
  "state": "single point on PBEsol structure",
  "cell": [[3.691, 0.000, 0.000], [0.000, 3.691, 0.000], [0.000, 0.000, 5.603]],
  "species": ["La", "Rh", "Rh", "Se"],
  "fractional_positions": [[0.500, 0.500, 0.759], [0.000, 0.000, 0.055], [0.500, 0.500, 0.207], [0.000, 0.000, 0.479]],
  "energy_ev_per_atom": -33.248,
  "e_form_raw_ev_per_atom": -0.5662
}



2.
{
  "formula": "LaRh2Se",
  "functional": "SCAN",
  "state": "single point on PBEsol structure",
  "cell": [[3.526, 0.000, 0.000], [0.000, 3.526, 0.000], [0.000, 0.000, 5.944]],
  "species": ["La", "Rh", "Rh", "Se"],
  "fractional_positions": [[0.500, 0.500, 0.500], [0.000, 0.000, 0.776], [0.000, 0.000, 0.224], [0.500, 0.500, 0.000]],
  "energy_ev_per_atom": -32.999,
  "e_form_raw_ev_per_atom": -0.3172
}



3.
{
  "formula": "La2RhSe",
  "functional": "SCAN",
  "state": "single point on PBEsol structure",
  "cell": [[3.876, 0.000, 0.000], [0.000, 4.307, 0.000], [-1.938, -2.153, 5.572]],
  "species": ["La", "La", "Rh", "Se"],
  "fractional_positions": [[0.003, 0.003, 0.006], [0.771, 0.271, 0.543], [0.514, 0.514, 0.028], [0.211, 0.711, 0.422]],
  "energy_ev_per_atom": -36.172,
  "e_form_raw_ev_per_atom": -1.1575
}



4.
{
  "formula": "La2RhSe",
  "functional": "SCAN",
  "state": "single point on PBEsol structure",
  "cell": [[4.117, 0.000, 0.000], [2.059, 3.566, 0.000], [2.059, 1.189, 7.235]],
  "species": ["Rh", "Se", "La", "La"],
  "fractional_positions": [[0.000, 0.000, 0.000], [0.500, 0.500, 0.500], [0.742, 0.742, 0.773], [0.258, 0.258, 0.227]],
  "energy_ev_per_atom": -36.506,
  "e_form_raw_ev_per_atom": -1.4910
}



5.
{
  "formula": "La4SiRh",
  "functional": "SCAN",
  "state": "single point on PBEsol structure",
  "cell": [[-0.834, 0.628, -5.977], [-5.480, -0.969, -2.417], [-3.241, 4.663, -2.137]],
  "species": ["La", "La", "La", "La", "Rh", "Si"],
  "fractional_positions": [[0.375, 0.375, 0.375], [0.375, 0.375, 0.876], [0.876, 0.375, 0.375], [0.375, 0.876, 0.375], [0.750, 0.750, 0.750], [0.000, 0.000, 0.000]],
  "energy_ev_per_atom": -35.520,
  "e_form_raw_ev_per_atom": 0.5147
}



6.
{
  "formula": "La2SiRh",
  "functional": "SCAN",
  "state": "single point on PBEsol structure",
  "cell": [[3.677, 0.000, 0.000], [0.000, 4.489, 0.000], [-1.838, -2.245, 5.600]],
  "species": ["Si", "Rh", "La", "La"],
  "fractional_positions": [[0.815, 0.815, 0.629], [0.456, 0.956, 0.913], [0.006, 0.506, 0.013], [0.223, 0.223, 0.445]],
  "energy_ev_per_atom": -33.254,
  "e_form_raw_ev_per_atom": -0.7549
}



7.
{
  "formula": "La2SiRh",
  "functional": "SCAN",
  "state": "single point on PBEsol structure",
  "cell": [[4.217, 0.000, 0.000], [2.109, 3.652, 0.000], [2.109, 1.217, 7.358]],
  "species": ["Si", "Rh", "La", "La"],
  "fractional_positions": [[0.203, 0.203, 0.390], [0.548, 0.548, 0.357], [0.958, 0.958, 0.126], [0.791, 0.791, 0.627]],
  "energy_ev_per_atom": -33.308,
  "e_form_raw_ev_per_atom": -0.8091
}



8.
{
  "formula": "La3Si2Rh3",
  "functional": "SCAN",
  "state": "single point on PBEsol structure",
  "cell": [[5.789, 0.000, 0.000], [0.000, 7.734, 0.000], [0.000, 0.000, 14.841]],
  "species": ["La", "La", "La", "La", "La", "La", "La", "La", "La", "La", "La", "La", "Si", "Si", "Si", "Si", "Si", "Si", "Si", "Si", "Rh", "Rh", "Rh", "Rh", "Rh", "Rh", "Rh", "Rh", "Rh", "Rh", "Rh", "Rh"],
  "fractional_positions": [[0.143, 0.476, 0.892], [0.357, 0.976, 0.892], [0.611, 0.337, 0.750], [0.389, 0.663, 0.250], [0.643, 0.024, 0.392], [0.857, 0.524, 0.108], [0.857, 0.524, 0.392], [0.357, 0.976, 0.608], [0.889, 0.837, 0.750], [0.143, 0.476, 0.608], [0.643, 0.024, 0.108], [0.111, 0.163, 0.250], [0.361, 0.371, 0.096], [0.639, 0.629, 0.904], [0.861, 0.129, 0.904], [0.361, 0.371, 0.404], [0.861, 0.129, 0.596], [0.639, 0.629, 0.596], [0.139, 0.871, 0.404], [0.139, 0.871, 0.096], [0.601, 0.340, 0.963], [0.399, 0.660, 0.037], [0.557, 0.317, 0.250], [0.399, 0.660, 0.463], [0.057, 0.183, 0.750], [0.101, 0.160, 0.463], [0.443, 0.683, 0.750], [0.943, 0.817, 0.250], [0.101, 0.160, 0.037], [0.601, 0.340, 0.537], [0.899, 0.840, 0.537], [0.899, 0.840, 0.963]],
  "energy_ev_per_atom": -32.364,
  "e_form_raw_ev_per_atom": -1.0314
}



9.
{
  "formula": "La2SiRh",
  "functional": "SCAN",
  "state": "single point on PBEsol structure",
  "cell": [[-1.843, -3.375, -1.573], [3.316, -2.479, 1.433], [-4.177, 0.496, 3.828]],
  "species": ["Si", "Rh", "La", "La"],
  "fractional_positions": [[0.500, 0.690, 0.380], [0.000, 0.823, 0.645], [0.000, 0.104, 0.208], [0.500, 0.392, 0.783]],
  "energy_ev_per_atom": -33.320,
  "e_form_raw_ev_per_atom": -0.8208
}



10.
{
  "formula": "LaSiRh",
  "functional": "SCAN",
  "state": "single point on PBEsol structure",
  "cell": [[-2.427, -3.214, -0.888], [2.112, 1.881, -3.002], [3.299, -2.670, 0.648]],
  "species": ["Si", "Rh", "La"],
  "fractional_positions": [[0.667, 0.333, 0.500], [0.333, 0.667, 0.500], [0.000, 0.000, 0.000]],
  "energy_ev_per_atom": -29.934,
  "e_form_raw_ev_per_atom": -0.9699
}



11.
{
  "formula": "LaSiRh",
  "functional": "SCAN",
  "state": "single point on PBEsol structure",
  "cell": [[4.664, 0.000, 0.000], [2.332, 4.039, 0.000], [2.332, 1.346, 3.808]],
  "species": ["La", "Rh", "Si"],
  "fractional_positions": [[0.250, 0.250, 0.250], [0.000, 0.000, 0.000], [0.500, 0.500, 0.500]],
  "energy_ev_per_atom": -28.585,
  "e_form_raw_ev_per_atom": 0.3791
}



12.
{
  "formula": "LaSi2Rh",
  "functional": "SCAN",
  "state": "single point on PBEsol structure",
  "cell": [[-2.169, 1.877, 2.053], [-2.289, 0.686, -3.045], [-2.910, -4.618, 1.147]],
  "species": ["La", "Rh", "Si", "Si"],
  "fractional_positions": [[0.500, 0.000, 0.546], [0.500, 0.500, 0.084], [0.000, 0.000, 0.065], [0.000, 0.500, 0.804]],
  "energy_ev_per_atom": -24.856,
  "e_form_raw_ev_per_atom": -0.6287
}



13.
{
  "formula": "LaSi2Rh",
  "functional": "SCAN",
  "state": "single point on PBEsol structure",
  "cell": [[3.089, 0.000, 0.000], [1.544, 2.675, 0.000], [1.544, 0.892, 8.609]],
  "species": ["La", "Rh", "Si", "Si"],
  "fractional_positions": [[0.501, 0.501, 0.496], [0.268, 0.268, 0.197], [0.995, 0.995, 0.014], [0.736, 0.736, 0.793]],
  "energy_ev_per_atom": -24.209,
  "e_form_raw_ev_per_atom": 0.0183
}



14.
{
  "formula": "LaSi2Rh",
  "functional": "SCAN",
  "state": "single point on PBEsol structure",
  "cell": [[-2.286, 2.280, 2.497], [-1.737, -2.013, -3.089], [1.196, -3.552, 4.338]],
  "species": ["Si", "Si", "Rh", "La"],
  "fractional_positions": [[0.707, 0.414, 0.622], [0.293, 0.586, 0.378], [0.000, 0.000, 0.500], [0.500, 0.000, 0.000]],
  "energy_ev_per_atom": -25.231,
  "e_form_raw_ev_per_atom": -1.0040
}



15.
{
  "formula": "LaSiRh",
  "functional": "SCAN",
  "state": "single point on PBEsol structure",
  "cell": [[6.330, 0.000, 0.000], [0.000, 6.330, 0.000], [0.000, 0.000, 6.330]],
  "species": ["La", "La", "La", "La", "Si", "Si", "Si", "Si", "Rh", "Rh", "Rh", "Rh"],
  "fractional_positions": [[0.363, 0.863, 0.637], [0.863, 0.637, 0.363], [0.637, 0.363, 0.863], [0.137, 0.137, 0.137], [0.661, 0.161, 0.339], [0.161, 0.339, 0.661], [0.339, 0.661, 0.161], [0.839, 0.839, 0.839], [0.076, 0.576, 0.924], [0.576, 0.924, 0.076], [0.924, 0.076, 0.576], [0.424, 0.424, 0.424]],
  "energy_ev_per_atom": -30.059,
  "e_form_raw_ev_per_atom": -1.0946
}



16.
{
  "formula": "LaSn2Rh",
  "functional": "SCAN",
  "state": "single point on PBEsol structure",
  "cell": [[4.453, 0.000, 0.000], [-2.226, 5.598, 0.000], [0.000, 0.000, 7.330]],
  "species": ["Rh", "Rh", "Sn", "Sn", "Sn", "Sn", "La", "La"],
  "fractional_positions": [[0.800, 0.600, 0.250], [0.200, 0.400, 0.750], [0.353, 0.706, 0.045], [0.647, 0.294, 0.955], [0.647, 0.294, 0.545], [0.353, 0.706, 0.455], [0.069, 0.137, 0.250], [0.931, 0.863, 0.750]],
  "energy_ev_per_atom": -38.048,
  "formation_enthalpy_0k_mev_per_atom": -869
}



17.
{
  "formula": "Sr2LaRh",
  "functional": "SCAN",
  "state": "single point on PBEsol structure",
  "cell": [[4.137, 0.000, 0.000], [-2.068, 3.585, -0.037], [0.000, -2.257, 10.257]],
  "species": ["Sr", "Sr", "Rh", "La"],
  "fractional_positions": [[0.030, 0.060, 0.088], [0.246, 0.491, 0.739], [0.757, 0.515, 0.272], [0.467, 0.933, 0.401]],
  "energy_ev_per_atom": -30.700,
  "polymorph_energy_mev_per_atom": 0.0,
  "formation_enthalpy_0k_mev_per_atom": -343
}



18.
{
  "formula": "SrLa2Rh",
  "functional": "SCAN",
  "state": "single point on PBEsol structure",
  "cell": [[-1.132, 4.985, -1.405], [0.492, 1.504, -5.059], [-4.323, 1.022, -2.894]],
  "species": ["La", "La", "Rh", "Sr"],
  "fractional_positions": [[0.000, 0.000, 0.000], [0.750, 0.750, 0.750], [0.500, 0.500, 0.500], [0.250, 0.250, 0.250]],
  "energy_ev_per_atom": -35.462,
  "polymorph_energy_mev_per_atom": 567.9,
  "formation_enthalpy_0k_mev_per_atom": 102
}



19.
{
  "formula": "SrLa2Rh",
  "functional": "SCAN",
  "state": "single point on PBEsol structure",
  "cell": [[-2.115, -3.809, -0.912], [2.481, -2.105, 3.038], [-3.848, 4.088, 2.714]],
  "species": ["La", "La", "Rh", "Sr"],
  "fractional_positions": [[0.750, 0.250, 0.500], [0.250, 0.750, 0.500], [0.500, 0.500, 0.000], [0.000, 0.000, 0.000]],
  "energy_ev_per_atom": -35.458,
  "polymorph_energy_mev_per_atom": 571.9,
  "formation_enthalpy_0k_mev_per_atom": 106
}



20.
{
  "formula": "SrLa2Rh",
  "functional": "SCAN",
  "state": "single point on PBEsol structure",
  "cell": [[4.132, 0.000, 0.000], [2.066, 3.579, 0.000], [2.066, 1.193, 9.960]],
  "species": ["Sr", "Rh", "La", "La"],
  "fractional_positions": [[0.000, 0.000, 0.000], [0.500, 0.500, 0.500], [0.217, 0.217, 0.348], [0.783, 0.783, 0.652]],
  "energy_ev_per_atom": -36.030,
  "polymorph_energy_mev_per_atom": 0.0,
  "formation_enthalpy_0k_mev_per_atom": -466
}



21.
{
  "formula": "Sr2LaRh",
  "functional": "SCAN",
  "state": "single point on PBEsol structure",
  "cell": [[-2.522, 1.217, -2.672], [-0.621, -3.936, -1.207], [-6.335, 1.201, 6.527]],
  "species": ["Sr", "Sr", "Rh", "La"],
  "fractional_positions": [[0.000, 0.217, 0.433], [0.500, 0.537, 0.074], [0.500, 0.364, 0.728], [0.000, 0.884, 0.769]],
  "energy_ev_per_atom": -30.693,
  "polymorph_energy_mev_per_atom": 7.2,
  "formation_enthalpy_0k_mev_per_atom": -336
}



22.
{
  "formula": "LaTaRh2",
  "functional": "SCAN",
  "state": "single point on PBEsol structure",
  "cell": [[-2.281, -0.999, 1.926], [0.231, -2.891, -1.225], [5.159, -1.785, 5.184]],
  "species": ["La", "Rh", "Rh", "Ta"],
  "fractional_positions": [[0.500, 0.500, 0.000], [0.000, 0.000, 0.306], [0.000, 0.000, 0.694], [0.500, 0.500, 0.500]],
  "energy_ev_per_atom": -44.914,
  "formation_enthalpy_0k_mev_per_atom": -606
}



23.
{
  "formula": "LaTa2TiRh",
  "functional": "SCAN",
  "state": "single point on PBEsol structure",
  "cell": [[4.813, 0.000, 0.000], [0.000, 4.813, 0.000], [0.000, 0.000, 5.283]],
  "species": ["Ti", "La", "Rh", "Ta", "Ta"],
  "fractional_positions": [[0.500, 0.500, 0.500], [0.000, 0.000, 0.500], [0.000, 0.000, 0.000], [0.000, 0.500, 0.000], [0.500, 0.000, 0.000]],
  "energy_ev_per_atom": -44.317,
  "formation_enthalpy_0k_mev_per_atom": 898
}



24.
{
  "formula": "LaY2TaRh",
  "functional": "SCAN",
  "state": "single point on PBEsol structure",
  "cell": [[-0.706, -3.336, -3.453], [3.782, -2.999, 2.124], [-3.594, -2.382, 3.036]],
  "species": ["Y", "Y", "La", "Rh", "Ta"],
  "fractional_positions": [[0.000, 0.000, 0.500], [0.000, 0.500, 0.000], [0.000, 0.000, 0.000], [0.500, 0.500, 0.500], [0.500, 0.000, 0.000]],
  "energy_ev_per_atom": -38.219,
  "formation_enthalpy_0k_mev_per_atom": 1610
}



25.
{
  "formula": "La2TcRh",
  "functional": "SCAN",
  "state": "single point on PBEsol structure",
  "cell": [[-1.469, -0.830, 3.156], [-3.432, -1.002, 0.168], [0.582, -8.372, 0.100]],
  "species": ["La", "La", "Rh", "Tc"],
  "fractional_positions": [[0.248, 0.248, 0.256], [0.752, 0.752, 0.744], [0.500, 0.500, 0.500], [0.000, 0.000, 0.000]],
  "energy_ev_per_atom": -38.643,
  "polymorph_energy_mev_per_atom": 225.5,
  "formation_enthalpy_0k_mev_per_atom": 117
}



26.
{
  "formula": "La2TcRh",
  "functional": "SCAN",
  "state": "single point on PBEsol structure",
  "cell": [[3.538, 0.102, 0.000], [-0.101, 3.538, 0.000], [0.000, 0.000, 6.908]],
  "species": ["La", "La", "Rh", "Tc"],
  "fractional_positions": [[0.000, 0.000, 0.251], [0.000, 0.000, 0.749], [0.500, 0.500, 0.500], [0.500, 0.500, 0.000]],
  "energy_ev_per_atom": -38.868,
  "polymorph_energy_mev_per_atom": 0.0,
  "formation_enthalpy_0k_mev_per_atom": -108
}



27.
{
  "formula": "La2TcRh",
  "functional": "SCAN",
  "state": "single point on PBEsol structure",
  "cell": [[3.390, 0.000, 0.000], [0.000, 4.833, 0.058], [-1.695, -1.693, 5.109]],
  "species": ["La", "La", "Rh", "Tc"],
  "fractional_positions": [[0.988, 0.997, 0.977], [0.761, 0.249, 0.521], [0.522, 0.564, 0.045], [0.229, 0.691, 0.457]],
  "energy_ev_per_atom": -38.805,
  "polymorph_energy_mev_per_atom": 63.1,
  "formation_enthalpy_0k_mev_per_atom": -45
}



28.
{
  "formula": "La2TeRh",
  "functional": "SCAN",
  "state": "single point on PBEsol structure",
  "cell": [[4.217, 0.000, 0.000], [2.108, 3.652, 0.000], [2.108, 1.217, 7.511]],
  "species": ["Te", "Rh", "La", "La"],
  "fractional_positions": [[0.500, 0.500, 0.500], [0.000, 0.000, 0.000], [0.263, 0.263, 0.211], [0.737, 0.737, 0.789]],
  "energy_ev_per_atom": -40.580,
  "e_form_raw_ev_per_atom": -1.2719,
  "polymorph_energy_mev_per_atom": 0.0
}